(1)
This record from the Alexandria database describes HfVPb2 after structural relaxation. The functional is PBE.

Output
Its total magnetization is 1.8 μB per formula unit. The formation energy comes out at 432 meV per atom.

a b c (Å): 7.0853 7.0853 7.0853
angles (deg): 90.00 90.00 90.00
Space group Fm-3m (No. 225)
One atom of each set of equivalent atoms:
Hf  0.0000  0.0000  0.0000 x4
V  0.0000  0.0000  0.5000 x4
Pb  0.2500  0.2500  0.2500 x8


(2)
This record from the Alexandria database describes HfV3Pb after structural relaxation. The functional is PBE.

Output
Its total magnetization is 0.0 μB per formula unit. The formation energy comes out at 1480 meV per atom.

a b c (Å): 4.7061 4.7061 4.7061
angles (deg): 90.00 90.00 90.00
Space group Pm-3m (No. 221)
One atom of each set of equivalent atoms:
Hf  0.0000  0.0000  0.0000 x1
V  0.0000  0.0000  0.5000 x3
Pb  0.5000  0.5000  0.5000 x1


(3)
This record from the Alexandria database describes Hf2VPb after structural relaxation. The functional is PBE.

Output
Its total magnetization is 1.5 μB per formula unit. The formation energy comes out at 679 meV per atom.

a b c (Å): 4.1524 4.1524 20.8444
angles (deg): 90.00 90.00 90.00
Space group I-42d (No. 122)
One atom of each set of equivalent atoms:
Hf  0.2449  0.2500  0.1250 x8
V  0.0000  0.0000  0.0000 x4
Pb  0.0000  0.0000  0.5000 x4


(4)
This record from the Alexandria database describes Hf4VPb after structural relaxation. The functional is PBE.

Output
Its total magnetization is 0.0 μB per formula unit. The formation energy comes out at 37 meV per atom.

a b c (Å): 8.1384 12.3965 5.5630
angles (deg): 90.00 110.05 90.00
Space group C2/c (No. 15)
One atom of each set of equivalent atoms:
Hf  0.1055  0.1790  0.0622 x8
Hf  0.2224  0.4149  0.3612 x8
V  0.0000  0.9995  0.2500 x4
Pb  0.0000  0.3826  0.7500 x4


(5)
This record from the Alexandria database describes Hf2VPb after structural relaxation. The functional is PBE.

Output
Its total magnetization is 1.0 μB per formula unit. The formation energy comes out at 136 meV per atom.

a b c (Å): 4.4923 4.4923 4.0500
angles (deg): 90.00 90.00 90.00
Space group P4/mmm (No. 123)
One atom of each set of equivalent atoms:
Hf  0.0000  0.5000  0.0000 x2
V  0.0000  0.0000  0.5000 x1
Pb  0.5000  0.5000  0.5000 x1


(6)
This record from the Alexandria database describes HfV4Pb after structural relaxation. The functional is PBE.

Output
Its total magnetization is 0.0 μB per formula unit. The formation energy comes out at 156 meV per atom.

a b c (Å): 7.3524 7.3524 7.3524
angles (deg): 90.00 90.00 90.00
Space group F-43m (No. 216)
One atom of each set of equivalent atoms:
Hf  0.0000  0.0000  0.0000 x4
V  0.1284  0.1284  0.3716 x16
Pb  0.2500  0.2500  0.7500 x4


(7)
This record from the Alexandria database describes HfVPb2 after structural relaxation. The functional is PBE.

Output
Its total magnetization is 1.5 μB per formula unit. The formation energy comes out at 548 meV per atom.

a b c (Å): 7.8376 7.8376 6.1765
angles (deg): 90.00 90.00 90.00
Space group I-42d (No. 122)
One atom of each set of equivalent atoms:
Hf  0.0000  0.0000  0.0000 x4
V  0.0000  0.0000  0.5000 x4
Pb  0.2311  0.2500  0.6250 x8


(8)
This record from the Alexandria database describes Hf8VPb2 after structural relaxation. The functional is PBE.

Output
Its total magnetization is 0.0 μB per formula unit. The formation energy comes out at 78 meV per atom.

a b c (Å): 5.0955 6.7109 14.1584
angles (deg): 90.00 90.00 90.00
Space group Immm (No. 71)
One atom of each set of equivalent atoms:
Hf  0.0000  0.0000  0.1720 x4
Hf  0.0000  0.2291  0.3717 x8
Hf  0.0000  0.2579  0.0000 x4
V  0.0000  0.5000  0.5000 x2
Pb  0.0000  0.5000  0.1905 x4


(9)
This record from the Alexandria database describes Hf12VPb6 after structural relaxation. The functional is PBE.

Output
Its total magnetization is 0.0 μB per formula unit. The formation energy comes out at 138 meV per atom.

a b c (Å): 10.8492 10.8492 12.6978
angles (deg): 90.00 90.00 120.00
Space group R-3 (No. 148, hexagonal axes)
One atom of each set of equivalent atoms:
Hf  0.0462  0.1788  0.3125 x18
Hf  0.0666  0.8601  0.9083 x18
V  0.0000  0.0000  0.5000 x3
Pb  0.0270  0.4363  0.2126 x18


(10)
This record from the Alexandria database describes HfVPb after structural relaxation. The functional is PBE.

Output
Its total magnetization is 1.6 μB per formula unit. The formation energy comes out at 343 meV per atom.

a b c (Å): 3.2457 3.2457 21.2205
angles (deg): 90.00 90.00 120.00
Space group R3m (No. 160, hexagonal axes)
One atom of each set of equivalent atoms:
Hf  0.0000  0.0000  0.0000 x3
V  0.0000  0.0000  0.4297 x3
Pb  0.0000  0.0000  0.2081 x3


(11)
This record from the Alexandria database describes HfV3Pb after structural relaxation. The functional is PBE.

Output
Its total magnetization is 1.5 μB per formula unit. The formation energy comes out at 1794 meV per atom.

a b c (Å): 4.8707 4.8707 4.8707
angles (deg): 90.00 90.00 90.00
Space group Pm-3m (No. 221)
One atom of each set of equivalent atoms:
Hf  0.0000  0.0000  0.0000 x1
V  0.0000  0.5000  0.5000 x3
Pb  0.5000  0.5000  0.5000 x1


(12)
This record from the Alexandria database describes Hf2PbW after structural relaxation. The functional is PBE.

Output
Its total magnetization is 0.0 μB per formula unit. The formation energy comes out at 757 meV per atom.

a b c (Å): 7.9016 7.9016 5.8321
angles (deg): 90.00 90.00 90.00
Space group I-42d (No. 122)
One atom of each set of equivalent atoms:
Hf  0.2103  0.2500  0.1250 x8
Pb  0.0000  0.0000  0.5000 x4
W  0.0000  0.0000  0.0000 x4


(13)
This record from the Alexandria database describes HfPb2W after structural relaxation. The functional is PBE.

Output
Its total magnetization is 0.0 μB per formula unit. The formation energy comes out at 686 meV per atom.

a b c (Å): 6.9840 6.9840 6.9840
angles (deg): 90.00 90.00 90.00
Space group Fm-3m (No. 225)
One atom of each set of equivalent atoms:
Hf  0.0000  0.0000  0.0000 x4
Pb  0.2500  0.2500  0.2500 x8
W  0.0000  0.0000  0.5000 x4


(14)
This record from the Alexandria database describes Hf2PbW after structural relaxation. The functional is PBE.

Output
Its total magnetization is 0.0 μB per formula unit. The formation energy comes out at 16 meV per atom.

a b c (Å): 3.5081 3.5081 6.7597
angles (deg): 90.00 90.00 90.00
Space group P4/mmm (No. 123)
One atom of each set of equivalent atoms:
Hf  0.0000  0.0000  0.2227 x2
Pb  0.5000  0.5000  0.5000 x1
W  0.5000  0.5000  0.0000 x1


(15)
This record from the Alexandria database describes HfPb2W after structural relaxation. The functional is PBE.

Output
Its total magnetization is 1.7 μB per formula unit. The formation energy comes out at 964 meV per atom.

a b c (Å): 7.9838 7.9838 6.0627
angles (deg): 90.00 90.00 90.00
Space group I-42d (No. 122)
One atom of each set of equivalent atoms:
Hf  0.0000  0.0000  0.0000 x4
Pb  0.2340  0.2500  0.6250 x8
W  0.0000  0.0000  0.5000 x4


(16)
This record from the Alexandria database describes HfZr2PbW after structural relaxation. The functional is PBE.

Output
Its total magnetization is 0.0 μB per formula unit. The formation energy comes out at 1336 meV per atom.

a b c (Å): 5.2167 5.2167 4.8148
angles (deg): 90.00 90.00 90.00
Space group P4/mmm (No. 123)
One atom of each set of equivalent atoms:
Hf  0.0000  0.0000  0.0000 x1
Zr  0.0000  0.5000  0.0000 x2
Pb  0.5000  0.5000  0.5000 x1
W  0.0000  0.0000  0.5000 x1


(17)
This record from the Alexandria database describes YHf2Pb after structural relaxation. The functional is PBE.

Output
Its total magnetization is 0.0 μB per formula unit. The formation energy comes out at 471 meV per atom.

a b c (Å): 8.4519 8.4519 6.0635
angles (deg): 90.00 90.00 90.00
Space group I-42d (No. 122)
One atom of each set of equivalent atoms:
Y  0.0000  0.0000  0.0000 x4
Hf  0.2261  0.2500  0.6250 x8
Pb  0.0000  0.0000  0.5000 x4


(18)
This record from the Alexandria database describes Y2Hf2Pb after structural relaxation. The functional is PBE.

Output
Its total magnetization is 0.0 μB per formula unit. The formation energy comes out at 45 meV per atom.

a b c (Å): 7.6993 7.6993 4.6424
angles (deg): 90.00 90.00 90.00
Space group P4/mbm (No. 127)
One atom of each set of equivalent atoms:
Y  0.1586  0.3414  0.0000 x4
Hf  0.1338  0.6338  0.5000 x4
Pb  0.0000  0.0000  0.5000 x2


(19)
This record from the Alexandria database describes YHfPb3 after structural relaxation. The functional is PBE.

Output
Its total magnetization is 0.0 μB per formula unit. The formation energy comes out at 324 meV per atom.

a b c (Å): 5.5652 5.5652 5.5652
angles (deg): 90.00 90.00 90.00
Space group Pm-3m (No. 221)
One atom of each set of equivalent atoms:
Y  0.0000  0.0000  0.0000 x1
Hf  0.5000  0.5000  0.5000 x1
Pb  0.0000  0.5000  0.5000 x3


(20)
This record from the Alexandria database describes Y2HfPb after structural relaxation. The functional is PBE.

Output
Its total magnetization is 0.8 μB per formula unit. The formation energy comes out at 317 meV per atom.

a b c (Å): 8.5563 8.5563 6.3104
angles (deg): 90.00 90.00 90.00
Space group I-42d (No. 122)
One atom of each set of equivalent atoms:
Y  0.2406  0.2500  0.1250 x8
Hf  0.0000  0.0000  0.5000 x4
Pb  0.0000  0.0000  0.0000 x4